A plane-wave DFT calculation with PBE-GGA was carried out for crystalline Li3TaC at its relaxed geometry.

Values from the calculation:
**ΔE to the lowest computed polymorph**: 0.000 eV/f.u.

Unit cell a=3.9074 b=3.9074 c=3.9074 alpha=90.00 beta=90.00 gamma=90.00
Last column: nearest neighbours and their distance in Å.
Space group Pm-3m (No. 221)
Symmetry-distinct sites (fractional):
Li1 0.0000 0.0000 0.5000 x3  2 C 1.95
Ta1 0.5000 0.5000 0.5000 x1  12 Li 2.76
C1 0.0000 0.0000 0.0000 x1  6 Li 1.95



A plane-wave DFT calculation with PBE-GGA was carried out for crystalline CdP at its relaxed geometry.

Values from the calculation:
**ΔE to the lowest computed polymorph**: 0.412 eV/f.u.

Unit cell a=7.0963 b=3.1501 c=7.9959 alpha=90.00 beta=90.00 gamma=90.00
Last column: nearest neighbours and their distance in Å.
Space group Pnma (No. 62)
Symmetry-distinct sites (fractional):
Cd1 0.1154 0.2500 0.1258 x4  4 P 2.94-2.95, 4 Cd 3.04-3.15
P1 0.0361 0.2500 0.5919 x4  2 P 2.21



A plane-wave DFT calculation with PBE-GGA was carried out for crystalline Li4Cu at its relaxed geometry.

Values from the calculation:
**ΔE to the lowest computed polymorph**: 0.000 eV/f.u.

Unit cell a=4.0784 b=4.1198 c=19.8197 alpha=90.00 beta=90.00 gamma=90.00
Last column: nearest neighbours and their distance in Å.
Space group Fmmm (No. 69)
Symmetry-distinct sites (fractional):
Li1 0.0000 0.0000 0.0814 x8  4 Cu 2.60-2.62, 4 Li 2.90
Li2 0.0000 0.0000 0.3064 x8  12 Li 2.90-3.04
Cu1 0.0000 0.0000 0.5000 x4  8 Li 2.60-2.62, 4 Cu 2.90



A plane-wave DFT calculation with PBE-GGA was carried out for crystalline Ce3Th12Sc at its relaxed geometry.

Values from the calculation:
**Energy**: -112.8 eV per cell

Unit cell a=4.9634 b=4.9634 c=19.9701 alpha=90.00 beta=90.00 gamma=90.00
Last column: nearest neighbours and their distance in Å.
Space group P4/mmm (No. 123)
Symmetry-distinct sites (fractional):
Ce1 0.0000 0.0000 0.0000 x1  12 Th 3.51-3.52
Ce2 0.0000 0.0000 0.2507 x2  12 Th 3.51-3.53
Th1 0.0000 0.5000 0.1247 x4  8 Th 3.50-3.52, 4 Ce 3.52-3.53
Th2 0.0000 0.5000 0.3756 x4  8 Th 3.51-3.55, 2 Sc 3.51, 2 Ce 3.52
Th3 0.5000 0.5000 0.0000 x1  4 Ce 3.51, 8 Th 3.52
Th4 0.5000 0.5000 0.2485 x2  8 Th 3.50-3.55, 4 Ce 3.51
Th5 0.5000 0.5000 0.5000 x1  4 Sc 3.51, 8 Th 3.51
Sc1 0.0000 0.0000 0.5000 x1  12 Th 3.51